[1]
Here is a geometry-optimized Li3CdNi structure from Alexandria via LeMat-Bulk. Energies are from GGA-PBE.

Cell: 4.8098 4.8098 4.8098 Å, 90.00 90.00 90.00°
Last column: nearest neighbours and their distance in Å.
Space group Pm-3m (No. 221)
Asymmetric unit:
Li1 0.0000 0.0000 0.5000  2 Cd 2.40
Cd1 0.0000 0.0000 0.0000  6 Li 2.40
Ni1 0.5000 0.5000 0.5000  12 Li 3.40

Results
Fermi-level density of states, states/eV/atom: 0.863
ΔH_f (0 K), eV/atom: 0.663
Distance to the lowest polymorph of the same formula, meV/atom: 443
DFT total energy, eV/atom: -1.8243
Total moment, μB per formula unit: 0.28

[2]
Here is a geometry-optimized Li2Cd2Ni structure from Alexandria via LeMat-Bulk. Energies are from GGA-PBE.

Cell: 6.3727 6.3727 3.9208 Å, 90.00 90.00 90.00°
Last column: nearest neighbours and their distance in Å.
Space group P4/mbm (No. 127)
Asymmetric unit:
Li1 0.1338 0.3662 0.0000  1 Li 2.41, 2 Ni 2.48, 2 Cd 2.60
Cd1 0.1773 0.6773 0.5000  6 Li 2.60-2.80
Ni1 0.0000 0.0000 0.0000  4 Li 2.48

Results
Fermi-level density of states, states/eV/atom: 0.450
ΔH_f (0 K), eV/atom: 0.051
Distance to the lowest polymorph of the same formula, meV/atom: 182
DFT total energy, eV/atom: -2.2368
Total moment, μB per formula unit: 0.00

[3]
Here is a geometry-optimized Li6Cd12Ni structure from Alexandria via LeMat-Bulk. Energies are from GGA-PBE.

Cell: 10.2093 10.2093 12.2773 Å, 90.00 90.00 120.00°
Last column: nearest neighbours and their distance in Å.
Space group R-3 (No. 148, hexagonal axes)
Asymmetric unit:
Li1 0.0349 0.5973 0.2058  1 Ni 2.80, 8 Cd 2.84-3.04, 2 Li 2.92
Cd1 0.0303 0.8471 0.3238  1 Ni 2.77, 4 Li 2.84-3.04, 4 Cd 2.94-3.01
Cd2 0.0594 0.2116 0.9086  4 Li 2.93-3.04, 5 Cd 2.96-3.25
Ni1 0.0000 0.0000 0.5000  6 Cd 2.77, 6 Li 2.80

Results
Fermi-level density of states, states/eV/atom: 0.450
ΔH_f (0 K), eV/atom: -0.164
DFT total energy, eV/atom: -1.6503
Total moment, μB per formula unit: 0.00